Arrangement i

This record from the Alexandria database describes a relaxed RbLi2ZnAu crystal. The functional is PBE.

Cell and atoms, written as CIF:
```
data_RbLi2ZnAu
_symmetry_space_group_name_H-M 'P 1'
_symmetry_Int_Tables_number 1
_cell_length_a 6.226
_cell_length_b 6.077
_cell_length_c 6.226
_cell_angle_alpha 90.00
_cell_angle_beta 90.00
_cell_angle_gamma 90.00
loop_
_symmetry_equiv_pos_as_xyz
'x,y,z'
loop_
_atom_site_label
_atom_site_type_symbol
_atom_site_fract_x
_atom_site_fract_y
_atom_site_fract_z
_atom_site_occupancy
Li1 Li 0.500 0.000 0.000 1
Li2 Li 0.000 0.000 0.500 1
Au1 Au 0.000 0.500 0.000 1
Rb1 Rb 0.000 0.000 0.000 1
Zn1 Zn 0.500 0.500 0.500 1
```

Arrangement ii

This record from the Alexandria database describes a relaxed RbLi2ZnAu crystal. The functional is PBE.

Cell and atoms, written as CIF:
```
data_RbLi2ZnAu
_symmetry_space_group_name_H-M 'P 1'
_symmetry_Int_Tables_number 1
_cell_length_a 5.219
_cell_length_b 5.219
_cell_length_c 5.067
_cell_angle_alpha 90.00
_cell_angle_beta 90.00
_cell_angle_gamma 90.00
loop_
_symmetry_equiv_pos_as_xyz
'x,y,z'
loop_
_atom_site_label
_atom_site_type_symbol
_atom_site_fract_x
_atom_site_fract_y
_atom_site_fract_z
_atom_site_occupancy
Li1 Li 0.500 0.000 0.000 1
Li2 Li 0.000 0.500 0.000 1
Au1 Au 0.000 0.000 0.000 1
Zn1 Zn 0.000 0.000 0.500 1
Rb1 Rb 0.500 0.500 0.500 1
```

It is arrangement i that is the least stable of them.

Arrangement i

This record from the Alexandria database describes a relaxed LiRh2Au crystal. The functional is PBE.

Cell and atoms, written as CIF:
```
data_LiRh2Au
_symmetry_space_group_name_H-M 'P 1'
_symmetry_Int_Tables_number 1
_cell_length_a 4.864
_cell_length_b 4.864
_cell_length_c 4.864
_cell_angle_alpha 134.05
_cell_angle_beta 134.05
_cell_angle_gamma 67.02
loop_
_symmetry_equiv_pos_as_xyz
'x,y,z'
loop_
_atom_site_label
_atom_site_type_symbol
_atom_site_fract_x
_atom_site_fract_y
_atom_site_fract_z
_atom_site_occupancy
Rh1 Rh 0.000 0.000 0.000 1
Rh2 Rh 0.500 0.500 0.000 1
Au1 Au 0.250 0.750 0.500 1
Li1 Li 0.750 0.250 0.500 1
```

Arrangement ii

This record from the Alexandria database describes a relaxed LiRh2Au crystal. The functional is PBE.

Cell and atoms, written as CIF:
```
data_LiRh2Au
_symmetry_space_group_name_H-M 'P 1'
_symmetry_Int_Tables_number 1
_cell_length_a 3.866
_cell_length_b 2.776
_cell_length_c 6.207
_cell_angle_alpha 63.32
_cell_angle_beta 90.00
_cell_angle_gamma 90.00
loop_
_symmetry_equiv_pos_as_xyz
'x,y,z'
loop_
_atom_site_label
_atom_site_type_symbol
_atom_site_fract_x
_atom_site_fract_y
_atom_site_fract_z
_atom_site_occupancy
Rh1 Rh 0.500 0.285 0.215 1
Rh2 Rh 0.000 0.980 0.020 1
Au1 Au 0.000 0.478 0.522 1
Li1 Li 0.500 0.757 0.743 1
```

Arrangement iii

This record from the Alexandria database describes a relaxed LiRh2Au crystal. The functional is PBE.

Cell and atoms, written as CIF:
```
data_LiRh2Au
_symmetry_space_group_name_H-M 'P 1'
_symmetry_Int_Tables_number 1
_cell_length_a 4.039
_cell_length_b 3.800
_cell_length_c 3.800
_cell_angle_alpha 90.00
_cell_angle_beta 90.00
_cell_angle_gamma 90.00
loop_
_symmetry_equiv_pos_as_xyz
'x,y,z'
loop_
_atom_site_label
_atom_site_type_symbol
_atom_site_fract_x
_atom_site_fract_y
_atom_site_fract_z
_atom_site_occupancy
Rh1 Rh 0.000 0.000 0.000 1
Rh2 Rh 0.000 0.500 0.500 1
Li1 Li 0.500 0.000 0.500 1
Au1 Au 0.500 0.500 0.000 1
```

It is arrangement i that is the least stable of them.

Arrangement i

This record from the Alexandria database describes a relaxed LiRh2Au crystal. The functional is PBE.

Cell and atoms, written as CIF:
```
data_LiRh2Au
_symmetry_space_group_name_H-M 'P 1'
_symmetry_Int_Tables_number 1
_cell_length_a 2.740
_cell_length_b 2.740
_cell_length_c 9.242
_cell_angle_alpha 90.00
_cell_angle_beta 90.00
_cell_angle_gamma 119.17
loop_
_symmetry_equiv_pos_as_xyz
'x,y,z'
loop_
_atom_site_label
_atom_site_type_symbol
_atom_site_fract_x
_atom_site_fract_y
_atom_site_fract_z
_atom_site_occupancy
Au1 Au 0.000 0.000 0.511 1
Rh1 Rh 0.500 0.500 0.237 1
Rh2 Rh 0.000 0.000 0.994 1
Li1 Li 0.500 0.500 0.758 1
```

Arrangement ii

This record from the Alexandria database describes a relaxed LiRh2Au crystal. The functional is PBE.

Cell and atoms, written as CIF:
```
data_LiRh2Au
_symmetry_space_group_name_H-M 'P 1'
_symmetry_Int_Tables_number 1
_cell_length_a 9.176
_cell_length_b 9.176
_cell_length_c 9.176
_cell_angle_alpha 17.36
_cell_angle_beta 17.36
_cell_angle_gamma 17.36
loop_
_symmetry_equiv_pos_as_xyz
'x,y,z'
loop_
_atom_site_label
_atom_site_type_symbol
_atom_site_fract_x
_atom_site_fract_y
_atom_site_fract_z
_atom_site_occupancy
Rh1 Rh 0.001 0.001 0.001 1
Rh2 Rh 0.255 0.255 0.255 1
Li1 Li 0.747 0.747 0.747 1
Au1 Au 0.497 0.497 0.497 1
```

It is arrangement i that is the least stable of them.

Arrangement i

This record from the Alexandria database describes a relaxed LiRh2Au crystal. The functional is PBE.

Cell and atoms, written as CIF:
```
data_LiRh2Au
_symmetry_space_group_name_H-M 'P 1'
_symmetry_Int_Tables_number 1
_cell_length_a 4.392
_cell_length_b 4.392
_cell_length_c 4.392
_cell_angle_alpha 60.00
_cell_angle_beta 60.00
_cell_angle_gamma 60.00
loop_
_symmetry_equiv_pos_as_xyz
'x,y,z'
loop_
_atom_site_label
_atom_site_type_symbol
_atom_site_fract_x
_atom_site_fract_y
_atom_site_fract_z
_atom_site_occupancy
Rh1 Rh 0.000 0.000 0.000 1
Rh2 Rh 0.250 0.250 0.250 1
Li1 Li 0.750 0.750 0.750 1
Au1 Au 0.500 0.500 0.500 1
```

Arrangement ii

This record from the Alexandria database describes a relaxed LiRh2Au crystal. The functional is PBE.

Cell and atoms, written as CIF:
```
data_LiRh2Au
_symmetry_space_group_name_H-M 'P 1'
_symmetry_Int_Tables_number 1
_cell_length_a 4.719
_cell_length_b 4.719
_cell_length_c 4.715
_cell_angle_alpha 131.06
_cell_angle_beta 131.06
_cell_angle_gamma 71.78
loop_
_symmetry_equiv_pos_as_xyz
'x,y,z'
loop_
_atom_site_label
_atom_site_type_symbol
_atom_site_fract_x
_atom_site_fract_y
_atom_site_fract_z
_atom_site_occupancy
Au1 Au 0.500 0.500 0.000 1
Rh1 Rh 0.750 0.250 0.500 1
Rh2 Rh 0.000 0.000 0.000 1
Li1 Li 0.250 0.750 0.500 1
```

It is arrangement i that is the least stable of them.